(1)
CeSc2Au: relaxed, GGA-PBE.

Cell lengths 3.4068, 3.4068, 29.1819 Å; angles 90.00, 90.00, 120.00 degrees
Space group R3m (No. 160, hexagonal axes)
One atom of each set of equivalent atoms:
Ce 0.0000 0.0000 0.0000 [3 per cell]
Sc 0.0000 0.0000 0.2392 [3 per cell]
Sc 0.0000 0.0000 0.4307 [3 per cell]
Au 0.0000 0.0000 0.8353 [3 per cell]

Results
density = 7.25 Mg/m³
uncorrected energy = -67.976 eV/cell
energy above the most stable polymorph in this dataset = 166.6 meV/atom

---

(2)
CeScAu2: relaxed, GGA-PBE.

Cell lengths 3.4372, 3.4372, 7.4782 Å; angles 90.00, 90.00, 90.00 degrees
Space group P4/mmm (No. 123)
One atom of each set of equivalent atoms:
Ce 0.0000 0.0000 0.0000 [1 per cell]
Sc 0.0000 0.0000 0.5000 [1 per cell]
Au 0.5000 0.5000 0.2877 [2 per cell]

Results
density = 10.88 Mg/m³
uncorrected energy = -21.661 eV/cell

---

(3)
Ce5ScAu6: relaxed, GGA-PBE.

Cell lengths 16.0118, 7.4972, 5.0230 Å; angles 90.00, 108.06, 90.00 degrees
Space group C2/m (No. 12)
One atom of each set of equivalent atoms:
Ce 0.0000 0.0000 0.0000 [2 per cell]
Ce 0.1557 0.0000 0.6541 [4 per cell]
Ce 0.1843 0.5000 0.6823 [4 per cell]
Sc 0.0000 0.5000 0.0000 [2 per cell]
Au 0.0000 0.2931 0.5000 [4 per cell]
Au 0.1536 0.2754 0.1518 [8 per cell]

Results
density = 11.17 Mg/m³
uncorrected energy = -126.429 eV/cell

---

(4)
CeScAu6: relaxed, GGA-PBE.

Cell lengths 8.4815, 4.7872, 8.5508 Å; angles 90.00, 111.58, 90.00 degrees
Space group C2/m (No. 12)
One atom of each set of equivalent atoms:
Ce 0.0000 0.0000 0.0000 [2 per cell]
Sc 0.0000 0.5000 0.5000 [2 per cell]
Au 0.1151 0.5000 0.8546 [4 per cell]
Au 0.1320 0.0000 0.3906 [4 per cell]
Au 0.2476 0.0000 0.7550 [4 per cell]

Results
density = 14.06 Mg/m³
uncorrected energy = -72.965 eV/cell